# Cu7Ag3

Crystalline Cu7Ag3 at its relaxed geometry (PBE, OQMD).

For the calculated formation energy, the calculation gives 0.77 eV/f.u. The calculation puts the energy at -3.37 eV per atom.

Unit cell a=3.7793 b=18.9937 c=3.8208 alpha=90.00 beta=90.00 gamma=90.00
Last column: nearest neighbours and their distance in Å.
Space group Cmmm (No. 65)
Symmetry-distinct sites (fractional):
Cu  0.0000  0.0000  0.0000 (multiplicity 2)  8 Ag 2.69-2.77, 4 Cu 2.82
Cu  0.0000  0.1094  0.5000 (multiplicity 4)  6 Cu 2.63-2.82, 6 Ag 2.69-2.81
Cu  0.0000  0.2062  0.0000 (multiplicity 4)  10 Cu 2.52-2.69, 2 Ag 2.67
Cu  0.0000  0.2943  0.5000 (multiplicity 4)  10 Cu 2.53-2.69, 2 Ag 2.68
Ag  0.0000  0.3930  0.0000 (multiplicity 4)  10 Cu 2.67-2.77, 2 Ag 2.79
Ag  0.0000  0.5000  0.5000 (multiplicity 2)  8 Cu 2.69-2.81, 4 Ag 2.79